VASP calculation (PBE) on crystalline EuInAu at its relaxed geometry.

Values from the calculation:
Raw total energy (eV/atom): -6.1020
DOS at the Fermi energy (states/eV per cell): 32.6
Size of the total moment (Bohr magnetons per cell): 28.36

a = 7.5818 Å, b = 4.7223 Å, c = 8.5883 Å
α = 90.00°, β = 90.00°, γ = 90.00°
With the nearest neighbours (Å) after each atom.
Space group Pnma (No. 62)
Inequivalent atoms, fractional coordinates:
1 Eu 0.0257 0.2500 0.1855 (multiplicity 4)  5 Au 3.20-3.32, 6 In 3.42-3.53
2 In 0.1578 0.2500 0.5658 (multiplicity 4)  4 Au 2.87-2.95
3 Au 0.2275 0.7500 0.3838 (multiplicity 4)  4 In 2.87-2.95, 1 Eu 3.20

VASP calculation (PBE) on crystalline CaLaAu at its relaxed geometry.

Values from the calculation:
E above lowest polymorph (kJ/mol of formula units): 26
DOS at the Fermi energy (states/eV per cell): 3.5
Size of the total moment (Bohr magnetons per cell): 0.09

a = 4.2438 Å, b = 4.2438 Å, c = 6.8283 Å
α = 90.00°, β = 90.00°, γ = 120.00°
With the nearest neighbours (Å) after each atom.
Space group P3m1 (No. 156)
Inequivalent atoms, fractional coordinates:
1 Ca 0.0000 0.0000 0.0000 (multiplicity 1)  3 Au 3.00
2 La 0.6667 0.3333 0.4888 (multiplicity 1)  3 Au 3.02
3 Au 0.3333 0.6667 0.7466 (multiplicity 1)  3 Ca 3.00, 3 La 3.02

VASP calculation (PBE) on crystalline AgMoAs2 at its relaxed geometry.

Values from the calculation:
E above lowest polymorph (kJ/mol of formula units): 110
DOS at the Fermi energy (states/eV per cell): 3.5
Size of the total moment (Bohr magnetons per cell): 0.00

a = 4.4996 Å, b = 4.4996 Å, c = 3.3116 Å
α = 90.00°, β = 90.00°, γ = 90.00°
With the nearest neighbours (Å) after each atom.
Space group P4/mmm (No. 123)
Inequivalent atoms, fractional coordinates:
1 Ag 0.0000 0.0000 0.0000 (multiplicity 1)  8 As 2.79
2 Mo 0.5000 0.5000 0.0000 (multiplicity 1)  8 As 2.79
3 As 0.0000 0.5000 0.5000 (multiplicity 2)  4 Mo 2.79, 4 Ag 2.79

VASP calculation (PBE) on crystalline TlGaCu2Se4 at its relaxed geometry.

Values from the calculation:
DOS at the Fermi energy (states/eV per cell): 2.3
ΔE_f (raw) (eV per atom): -0.356
Size of the total moment (Bohr magnetons per cell): 0.00

a = 5.8745 Å, b = 5.8745 Å, c = 11.4056 Å
α = 90.00°, β = 90.00°, γ = 90.00°
With the nearest neighbours (Å) after each atom.
Space group I-42m (No. 121)
Inequivalent atoms, fractional coordinates:
1 Tl 0.0000 0.0000 0.0000 (multiplicity 2)  4 Se 2.75
2 Ga 0.0000 0.0000 0.5000 (multiplicity 2)  4 Se 2.48
3 Cu 0.0000 0.5000 0.2500 (multiplicity 4)  4 Se 2.44
4 Se 0.2289 0.2289 0.6389 (multiplicity 8)  2 Cu 2.44, 1 Ga 2.48